# PBE AcPm2Zn2Si2, relaxed
data_AcPm2Zn2Si2
_chemical_formula_sum 'Ac3 Pm6 Zn6 Si6'
_cell_length_a 4.1762
_cell_length_b 4.1762
_cell_length_c 35.7196
_cell_angle_alpha 90.00
_cell_angle_beta 90.00
_cell_angle_gamma 120.00
_space_group_name_H-M_alt 'R -3 m'
_space_group_IT_number 166
_space_group_name_Hall '-R 3 2"'
loop_
_atom_site_label
_atom_site_fract_x
_atom_site_fract_y
_atom_site_fract_z
Ac1 0.0000 0.0000 0.0000
Pm1 0.0000 0.0000 0.1235
Zn1 0.0000 0.0000 0.3991
Si1 0.0000 0.0000 0.2657
# - Formation energy without anion corrections: -0.43 eV/atom
# - Fermi-level density of states: 7.954 states/eV/f.u.

# PBE PrY2Ho3, relaxed
data_PrY2Ho3
_chemical_formula_sum 'Pr4 Y8 Ho12'
_cell_length_a 9.473
_cell_length_b 13.198
_cell_length_c 6.363
_cell_angle_alpha 90.00
_cell_angle_beta 90.00
_cell_angle_gamma 90.00
_space_group_name_H-M_alt 'C m c 21'
_space_group_IT_number 36
_space_group_name_Hall 'C 2c -2'
loop_
_atom_site_label
_atom_site_fract_x
_atom_site_fract_y
_atom_site_fract_z
Pr1 0.000 0.176 0.000
Y1 0.183 0.442 0.778
Ho1 0.000 0.082 0.527
Ho2 0.181 0.304 0.326
# - Energy above the most stable polymorph in this dataset: 220 meV per atom
# - Fermi-level density of states: 8.962 states/eV/f.u.

Values of total moment, in order: 1.200 0.000, all in μB/cell.